Crystalline Fe2CuRu at its relaxed geometry. Source: the Alexandria database, functional PBEsol.

Values from the calculation:
- magnetic moment (Bohr magnetons per cell) = 3.521
- crystal system = tetragonal
- calculated total energy (eV/atom) = -7.914
- calculated density (Mg/m³) = 9.856
- calculated formation energy (eV/f.u.) = 0.779
- symmetry = P4/mmm, No. 123
- polymorph energy (0 for the lowest one) (eV per atom) = 0.0008

The structure in POSCAR format:
```
Fe2CuRu
1.0
2.5666 0.0000 0.0000
0.0000 2.5666 0.0000
0.0000 0.0000 7.0672
Fe Cu Ru
2 1 1
Cartesian
0.0000 0.0000 1.7467
0.0000 0.0000 5.3206
1.2833 1.2833 0.0000
1.2833 1.2833 3.5336
```